# 1
Density functional theory data (PBE-GGA) for Ho5AlSi2 after structural relaxation.

Calculated values
- E_form (uncorrected): -53.5 kJ/mol of atoms
- Volume: 24.80 A^3/atom
- DFT total energy: -167.66 eV per cell
- Theoretical density: 7.6 g/cm3
- Crystal system: tetragonal

Cell lengths 7.566, 7.566, 13.860 Å; angles 90.00, 90.00, 90.00 degrees
Space group I4/mcm (No. 140)
One atom of each set of equivalent atoms:
1 Ho 0.000 0.000 0.000 [4 per cell]
2 Ho 0.172 0.328 0.141 [16 per cell]
3 Al 0.000 0.000 0.250 [4 per cell]
4 Si 0.124 0.376 0.500 [8 per cell]

# 2
Density functional theory data (PBE-GGA) for Ho4Al5Si6 after structural relaxation.

Calculated values
- E_form (uncorrected): -40.0 kJ/mol of atoms
- Volume: 19.58 A^3/atom
- DFT total energy: -303.15 eV per cell
- Theoretical density: 5.4 g/cm3
- Crystal system: orthorhombic

Cell lengths 4.158, 18.864, 14.978 Å; angles 90.00, 90.00, 90.00 degrees
Space group Cmc2_1 (No. 36)
One atom of each set of equivalent atoms:
1 Ho 0.000 0.015 0.000 [4 per cell]
2 Ho 0.000 0.039 0.268 [4 per cell]
3 Ho 0.000 0.163 0.808 [4 per cell]
4 Ho 0.000 0.181 0.446 [4 per cell]
5 Al 0.000 0.152 0.128 [4 per cell]
6 Al 0.000 0.306 0.118 [4 per cell]
7 Al 0.000 0.339 0.781 [4 per cell]
8 Al 0.000 0.356 0.475 [4 per cell]
9 Al 0.000 0.445 0.181 [4 per cell]
10 Si 0.000 0.110 0.619 [4 per cell]
11 Si 0.000 0.216 0.988 [4 per cell]
12 Si 0.000 0.232 0.261 [4 per cell]
13 Si 0.000 0.427 0.630 [4 per cell]
14 Si 0.000 0.427 0.909 [4 per cell]
15 Si 0.000 0.448 0.353 [4 per cell]